This record from Alexandria describes an optimized crystal structure of Rb6NaHg3. The functional is GGA-PBE.

Properties
Volume, Å³ per atom: 57.84
Calculated density, g/cm3: 3.266
M_tot, Bohr magnetons per cell: 0.00

Unit cell a=14.0823 b=5.4008 c=16.3698 alpha=90.00 beta=111.70 gamma=90.00
Sites, in units of the cell vectors:
Rb  0.0197  0.2500  0.3881
Rb  0.0547  0.2500  0.9030
Rb  0.2375  0.7500  0.3269
Rb  0.3239  0.7500  0.0796
Rb  0.3300  0.7500  0.8001
Rb  0.3914  0.2500  0.5658
Rb  0.6086  0.7500  0.4342
Rb  0.6700  0.2500  0.1999
Rb  0.6761  0.2500  0.9204
Rb  0.7625  0.2500  0.6731
Rb  0.9453  0.7500  0.0970
Rb  0.9803  0.7500  0.6119
Na  0.4142  0.2500  0.2726
Na  0.5858  0.7500  0.7274
Hg  0.1670  0.2500  0.1576
Hg  0.2035  0.7500  0.5443
Hg  0.4411  0.2500  0.9816
Hg  0.5589  0.7500  0.0184
Hg  0.7965  0.2500  0.4557
Hg  0.8330  0.7500  0.8424

---

This record from Alexandria describes an optimized crystal structure of RbNaHg2. The functional is GGA-PBE.

Properties
Volume, Å³ per atom: 35.42
Calculated density, g/cm3: 5.973
M_tot, Bohr magnetons per cell: 0.00

Unit cell a=5.6575 b=5.6575 c=4.4264 alpha=90.00 beta=90.00 gamma=90.00
Sites, in units of the cell vectors:
Rb  0.0000  0.0000  0.0000
Na  0.5000  0.5000  0.0000
Hg  0.0000  0.5000  0.5000
Hg  0.5000  0.0000  0.5000

---

no.,formation energy from the elements (eV per atom)
1,-0.12
2,-0.16